1.
This record from Alexandria via LeMat-Bulk describes a relaxed LiSbSe2Br crystal. The functional is PBEsol.

Lattice parameters (Å, degrees): 4.739 4.739 4.713 90.00 90.00 90.00
Positions (direct):
Li 0.000 0.000 0.000
Sb 0.500 0.500 0.500
Se 0.000 0.500 0.000
Se 0.500 0.000 0.000
Br 0.000 0.000 0.500

Properties
total energy = -16.24 eV per formula unit
raw formation energy = -0.03 eV/atom
total magnetization = 0.0 Bohr magnetons per cell

2.
This record from Alexandria via LeMat-Bulk describes a relaxed LiSb2TeBr crystal. The functional is PBEsol.

Lattice parameters (Å, degrees): 5.523 5.523 5.547 90.00 90.00 90.00
Positions (direct):
Li 0.000 0.000 0.000
Sb 0.000 0.500 0.500
Sb 0.500 0.000 0.500
Te 0.500 0.500 0.000
Br 0.500 0.500 0.500

Properties
total energy = -13.39 eV per formula unit
raw formation energy = 0.62 eV/atom
total magnetization = 0.0 Bohr magnetons per cell

3.
This record from Alexandria via LeMat-Bulk describes a relaxed LiSbTe2Br crystal. The functional is PBEsol.

Lattice parameters (Å, degrees): 5.558 5.558 5.529 90.00 90.00 90.00
Positions (direct):
Li 0.000 0.000 0.000
Sb 0.500 0.500 0.000
Te 0.000 0.500 0.500
Te 0.500 0.000 0.500
Br 0.500 0.500 0.500

Properties
total energy = -12.83 eV per formula unit
raw formation energy = 0.52 eV/atom
total magnetization = 0.5 Bohr magnetons per cell

4.
This record from Alexandria via LeMat-Bulk describes a relaxed LiScBr crystal. The functional is PBEsol.

Lattice parameters (Å, degrees): 4.554 4.554 3.610 90.00 90.00 120.00
Positions (direct):
Li 0.000 0.000 0.000
Sc 0.667 0.333 0.535
Br 0.333 0.667 0.746

Properties
total energy = -11.36 eV per formula unit
energy above the most stable polymorph in this dataset = 346 meV/atom
raw formation energy = -0.30 eV/atom
total magnetization = 0.0 Bohr magnetons per cell

5.
This record from Alexandria via LeMat-Bulk describes a relaxed LiScBr2 crystal. The functional is PBEsol.

Lattice parameters (Å, degrees): 3.570 6.602 6.602 32.28 90.00 90.00
Positions (direct):
Li 0.000 0.000 0.000
Sc 0.500 0.201 0.201
Br 0.000 0.792 0.792
Br 0.500 0.540 0.540

Properties
total energy = -16.66 eV per formula unit
raw formation energy = -1.09 eV/atom
total magnetization = 0.0 Bohr magnetons per cell

6.
This record from Alexandria via LeMat-Bulk describes a relaxed Li2ScBr crystal. The functional is PBEsol.

Lattice parameters (Å, degrees): 9.010 9.010 9.010 21.80 21.80 21.80
Positions (direct):
Li 0.230 0.230 0.230
Li 0.770 0.770 0.770
Sc 0.000 0.000 0.000
Br 0.500 0.500 0.500

Properties
total energy = -14.30 eV per formula unit
raw formation energy = -0.47 eV/atom
total magnetization = 0.2 Bohr magnetons per cell

7.
This record from Alexandria via LeMat-Bulk describes a relaxed LiScBr crystal. The functional is PBEsol.

Lattice parameters (Å, degrees): 3.438 3.438 6.540 90.00 90.00 120.00
Positions (direct):
Li 0.000 0.000 0.000
Sc 0.667 0.333 0.618
Br 0.333 0.667 0.322

Properties
total energy = -12.40 eV per formula unit
energy above the most stable polymorph in this dataset = 0 meV/atom
raw formation energy = -0.65 eV/atom
total magnetization = 1.0 Bohr magnetons per cell

8.
This record from Alexandria via LeMat-Bulk describes a relaxed LiScBr crystal. The functional is PBEsol.

Lattice parameters (Å, degrees): 4.510 4.510 4.510 60.00 60.00 60.00
Positions (direct):
Li 0.000 0.000 0.000
Sc 0.500 0.500 0.500
Br 0.250 0.250 0.250

Properties
total energy = -11.03 eV per formula unit
energy above the most stable polymorph in this dataset = 454 meV/atom
raw formation energy = -0.20 eV/atom
total magnetization = 1.2 Bohr magnetons per cell